Entry 1:
The following is a DFT calculation (PBE) of an optimized crystal structure of Tb2PmPr5Nd.

Cell: 10.7438 10.7438 10.7413 Å, 90.00 90.00 148.83°
Last column: nearest neighbours and their distance in Å.
Atoms (fractional coordinates):
1 Tb 0.1130 0.8870 0.5000  1 Pm 3.47, 7 Pr 3.51-3.80, 2 Nd 3.75
2 Tb 0.1175 0.8825 0.0883  8 Pr 3.36-3.63, 1 Pm 3.75
3 Tb 0.8825 0.1175 0.5883  8 Pr 3.36-3.63, 1 Pm 3.75
4 Tb 0.8870 0.1130 0.0000  1 Pm 3.47, 7 Pr 3.51-3.80, 2 Nd 3.75
5 Pm 0.1998 0.8002 0.7769  2 Tb 3.47-3.75, 7 Pr 3.56-3.84, 2 Nd 3.75
6 Pm 0.8002 0.1998 0.2769  2 Tb 3.47-3.75, 7 Pr 3.56-3.84, 2 Nd 3.75
7 Pr 0.0161 0.9839 0.7886  2 Nd 3.34, 3 Tb 3.50-3.69, 2 Pr 3.73
8 Pr 0.2798 0.7202 0.0781  1 Nd 3.12, 1 Tb 3.36, 2 Pr 3.48
9 Pr 0.2958 0.7042 0.4710  3 Pr 3.48-3.79, 3 Pm 3.56-3.84, 3 Tb 3.62-3.80, 1 Nd 3.63
10 Pr 0.3901 0.6099 0.7926  6 Pr 3.55-3.97, 4 Tb 3.63-3.65, 1 Pm 3.94
11 Pr 0.4778 0.5222 0.5081  2 Nd 3.21-3.40, 2 Pr 3.55-3.58
12 Pr 0.5222 0.4778 0.0081  2 Nd 3.21-3.40, 2 Pr 3.55-3.58
13 Pr 0.6099 0.3901 0.2926  6 Pr 3.55-3.97, 4 Tb 3.63-3.65, 1 Pm 3.94
14 Pr 0.7042 0.2958 0.9710  3 Pr 3.48-3.79, 3 Pm 3.56-3.84, 3 Tb 3.62-3.80, 1 Nd 3.63
15 Pr 0.7202 0.2798 0.5781  1 Nd 3.12, 1 Tb 3.36, 2 Pr 3.48
16 Pr 0.9839 0.0161 0.2886  2 Nd 3.34, 3 Tb 3.50-3.69, 2 Pr 3.73
17 Nd 0.4118 0.5882 0.2178  5 Pr 3.12-3.40
18 Nd 0.5882 0.4118 0.7178  5 Pr 3.12-3.40

Results
Magnetization (μB/f.u.): 0.000
D(E_F) (states/eV/f.u.): 13.67
Energy of formation from the pure elements (eV per atom): 0.14

***

Entry 2:
The following is a DFT calculation (PBE) of an optimized crystal structure of TbPmPrNd.

Cell: 6.3307 6.3307 6.3307 Å, 131.82 131.82 70.51°
Last column: nearest neighbours and their distance in Å.
Atoms (fractional coordinates):
1 Tb 0.0000 0.0000 0.0000  4 Pr 3.65, 4 Nd 3.65, 4 Pm 3.65
2 Pm 0.2500 0.7500 0.5000  4 Nd 3.65, 4 Tb 3.65, 4 Pr 3.65
3 Pr 0.5000 0.5000 0.0000  4 Tb 3.65, 4 Nd 3.65, 4 Pm 3.65
4 Nd 0.7500 0.2500 0.5000  4 Pm 3.65, 4 Tb 3.65, 4 Pr 3.65

Results
Magnetization (μB/f.u.): 0.000
Excess energy over the best structure of this formula in the dataset (meV per atom): 0
D(E_F) (states/eV/f.u.): 6.14
Energy of formation from the pure elements (eV per atom): 0.02

***

Entry 3:
The following is a DFT calculation (PBE) of an optimized crystal structure of TbPm2Pr5Nd.

Cell: 10.1910 10.1910 10.1910 Å, 127.77 127.77 77.01°
Last column: nearest neighbours and their distance in Å.
Atoms (fractional coordinates):
1 Tb 0.2500 0.7500 0.5000  4 Pr 3.18
2 Tb 0.7500 0.2500 0.5000  4 Pr 3.18
3 Pm 0.1165 0.6165 0.7329  1 Pm 2.96, 2 Pr 3.14
4 Pm 0.3835 0.1165 0.5000  1 Pm 2.96, 2 Pr 3.14
5 Pm 0.6165 0.8835 0.5000  1 Pm 2.96, 2 Pr 3.14
6 Pm 0.8835 0.3835 0.2671  1 Pm 2.96, 2 Pr 3.14
7 Pr 0.0000 0.0000 0.0000  4 Pm 3.60, 8 Pr 3.90, 2 Nd 3.99
8 Pr 0.0696 0.1529 0.5000  1 Pm 3.14, 1 Tb 3.18
9 Pr 0.1529 0.6529 0.0832  1 Pm 3.14, 1 Tb 3.18
10 Pr 0.3471 0.4304 0.5000  1 Pm 3.14, 1 Tb 3.18
11 Pr 0.4304 0.9304 0.0832  1 Pm 3.14, 1 Tb 3.18
12 Pr 0.5000 0.5000 0.0000  4 Pm 3.60, 8 Pr 3.90, 2 Nd 3.99
13 Pr 0.5696 0.0696 0.9168  1 Pm 3.14, 1 Tb 3.18
14 Pr 0.6529 0.5696 0.5000  1 Pm 3.14, 1 Tb 3.18
15 Pr 0.8471 0.3471 0.9168  1 Pm 3.14, 1 Tb 3.18
16 Pr 0.9304 0.8471 0.5000  1 Pm 3.14, 1 Tb 3.18
17 Nd 0.2500 0.2500 0.0000  10 Pr 3.67-3.99
18 Nd 0.7500 0.7500 0.0000  10 Pr 3.67-3.99

Results
Magnetization (μB/f.u.): 0.000
D(E_F) (states/eV/f.u.): 14.99
Energy of formation from the pure elements (eV per atom): 0.27

***

Entry 4:
The following is a DFT calculation (PBE) of an optimized crystal structure of Tb4Pm2Pr2Nd.

Cell: 9.6716 9.6716 9.7260 Å, 115.23 115.23 21.83°
Last column: nearest neighbours and their distance in Å.
Atoms (fractional coordinates):
1 Tb 0.0195 0.0195 0.3341  4 Pm 3.57-3.67, 2 Nd 3.61, 5 Tb 3.61-3.66, 1 Pr 3.62
2 Tb 0.3146 0.3146 0.6637  3 Pm 3.55-3.67, 6 Tb 3.57-3.66, 2 Pr 3.62, 1 Nd 3.62
3 Tb 0.6854 0.6854 0.3363  3 Pm 3.55-3.67, 6 Tb 3.57-3.66, 2 Pr 3.62, 1 Nd 3.62
4 Tb 0.9805 0.9805 0.6659  4 Pm 3.57-3.67, 2 Nd 3.61, 5 Tb 3.61-3.66, 1 Pr 3.62
5 Pm 0.3529 0.3529 0.3370  7 Tb 3.55-3.67, 3 Pr 3.63-3.64, 2 Pm 3.66
6 Pm 0.6471 0.6471 0.6630  7 Tb 3.55-3.67, 3 Pr 3.63-3.64, 2 Pm 3.66
7 Pr 0.1662 0.1662 0.0013  3 Tb 3.62, 3 Pm 3.63-3.64, 2 Nd 3.64, 4 Pr 3.66-3.68
8 Pr 0.8338 0.8338 0.9987  3 Tb 3.62, 3 Pm 3.63-3.64, 2 Nd 3.64, 4 Pr 3.66-3.68
9 Nd 0.5000 0.5000 0.0000  6 Tb 3.61-3.62, 4 Pr 3.64, 2 Nd 3.66

Results
Magnetization (μB/f.u.): 0.000
D(E_F) (states/eV/f.u.): 12.19
Energy of formation from the pure elements (eV per atom): 0.00

***

Entry 5:
The following is a DFT calculation (PBE) of an optimized crystal structure of TbPmPr2Nd.

Cell: 8.2926 6.8234 6.3162 Å, 90.00 90.17 90.00°
Last column: nearest neighbours and their distance in Å.
Atoms (fractional coordinates):
1 Tb 0.0000 0.1582 0.2500  6 Pr 3.56-3.69, 2 Tb 3.83
2 Tb 0.0000 0.8418 0.7500  6 Pr 3.56-3.69, 2 Tb 3.83
3 Pm 0.5000 0.4220 0.2500  2 Pr 3.14, 2 Nd 3.28, 2 Pm 3.33
4 Pm 0.5000 0.5780 0.7500  2 Pr 3.14, 2 Nd 3.28, 2 Pm 3.33
5 Pr 0.1952 0.3058 0.7514  1 Pm 3.14, 1 Pr 3.24
6 Pr 0.1952 0.6942 0.2514  1 Pm 3.14, 1 Pr 3.24
7 Pr 0.8048 0.3058 0.7486  1 Pm 3.14, 1 Pr 3.24
8 Pr 0.8048 0.6942 0.2486  1 Pm 3.14, 1 Pr 3.24
9 Nd 0.5000 0.0000 0.0000  2 Nd 3.16, 2 Pm 3.28
10 Nd 0.5000 0.0000 0.5000  2 Nd 3.16, 2 Pm 3.28

Results
Magnetization (μB/f.u.): 0.000
D(E_F) (states/eV/f.u.): 6.37
Energy of formation from the pure elements (eV per atom): 0.25

***

Entry 6:
The following is a DFT calculation (PBE) of an optimized crystal structure of TbPm6Pr3Nd2.

Cell: 6.3501 6.3501 12.1575 Å, 95.02 95.02 120.00°
Last column: nearest neighbours and their distance in Å.
Atoms (fractional coordinates):
1 Tb 0.0000 0.0000 0.0000  6 Pm 3.64-3.65, 6 Nd 3.67
2 Pm 0.0825 0.4150 0.2481  1 Tb 3.64, 2 Nd 3.65, 6 Pm 3.66-3.67, 3 Pr 3.68-3.69
3 Pm 0.2501 0.2501 0.7519  1 Tb 3.65, 2 Nd 3.65, 6 Pm 3.66-3.67, 3 Pr 3.68-3.69
4 Pm 0.4150 0.0825 0.2481  1 Tb 3.64, 2 Nd 3.65, 6 Pm 3.66-3.67, 3 Pr 3.68-3.69
5 Pm 0.5850 0.9175 0.7519  1 Tb 3.64, 2 Nd 3.65, 6 Pm 3.66-3.67, 3 Pr 3.68-3.69
6 Pm 0.7499 0.7499 0.2481  1 Tb 3.65, 2 Nd 3.65, 6 Pm 3.66-3.67, 3 Pr 3.68-3.69
7 Pm 0.9175 0.5850 0.7519  1 Tb 3.64, 2 Nd 3.65, 6 Pm 3.66-3.67, 3 Pr 3.68-3.69
8 Pr 0.1665 0.8335 0.5000  6 Pr 3.66-3.67, 6 Pm 3.68-3.69
9 Pr 0.5000 0.5000 0.5000  6 Pr 3.67, 6 Pm 3.68-3.69
10 Pr 0.8335 0.1665 0.5000  6 Pr 3.66-3.67, 6 Pm 3.68-3.69
11 Nd 0.3333 0.6667 0.0000  6 Pm 3.65, 3 Tb 3.67, 3 Nd 3.67
12 Nd 0.6667 0.3333 0.0000  6 Pm 3.65, 3 Tb 3.67, 3 Nd 3.67

Results
Magnetization (μB/f.u.): 0.000
D(E_F) (states/eV/f.u.): 18.40
Energy of formation from the pure elements (eV per atom): 0.01

***

Entry 7:
The following is a DFT calculation (PBE) of an optimized crystal structure of Tb2Pm2PrNd.

Cell: 6.6677 18.2234 3.4390 Å, 90.00 90.00 90.00°
Last column: nearest neighbours and their distance in Å.
Atoms (fractional coordinates):
1 Tb 0.2205 0.1487 0.0000  1 Pr 3.29, 4 Pm 3.39-3.46, 2 Tb 3.44, 2 Nd 3.53
2 Tb 0.2795 0.6487 0.5000  1 Pr 3.29, 4 Pm 3.39-3.46, 2 Tb 3.44, 2 Nd 3.53
3 Tb 0.7205 0.3513 0.5000  1 Pr 3.29, 4 Pm 3.39-3.46, 2 Tb 3.44, 2 Nd 3.53
4 Tb 0.7795 0.8513 0.0000  1 Pr 3.29, 4 Pm 3.39-3.46, 2 Tb 3.44, 2 Nd 3.53
5 Pm 0.2229 0.3137 0.5000  4 Tb 3.39-3.46, 2 Pm 3.44, 1 Pr 3.71
6 Pm 0.2771 0.8137 0.0000  4 Tb 3.39-3.46, 2 Pm 3.44, 1 Pr 3.71
7 Pm 0.7229 0.1863 0.0000  4 Tb 3.39-3.46, 2 Pm 3.44, 1 Pr 3.71
8 Pm 0.7771 0.6863 0.5000  4 Tb 3.39-3.46, 2 Pm 3.44, 1 Pr 3.71
9 Pr 0.0000 0.5000 0.5000  2 Tb 3.29, 2 Pr 3.44
10 Pr 0.5000 0.0000 0.0000  2 Tb 3.29, 2 Pr 3.44
11 Nd 0.0000 0.0000 0.5000  2 Nd 3.44, 4 Tb 3.53, 4 Pr 3.75
12 Nd 0.5000 0.5000 0.0000  2 Nd 3.44, 4 Tb 3.53, 4 Pr 3.75

Results
Magnetization (μB/f.u.): 0.000
D(E_F) (states/eV/f.u.): 10.70
Energy of formation from the pure elements (eV per atom): 0.26

***

Entry 8:
The following is a DFT calculation (PBE) of an optimized crystal structure of TbPm2PrNd2.

Cell: 6.8010 18.0322 3.4524 Å, 90.00 90.00 90.00°
Last column: nearest neighbours and their distance in Å.
Atoms (fractional coordinates):
1 Tb 0.0000 0.0000 0.0000  2 Pm 3.25, 2 Tb 3.45, 2 Nd 3.64
2 Tb 0.5000 0.5000 0.5000  2 Pm 3.25, 2 Tb 3.45, 2 Nd 3.64
3 Pm 0.2336 0.3502 0.5000  1 Tb 3.25, 4 Nd 3.42-3.51, 2 Pm 3.45, 2 Pr 3.58
4 Pm 0.2664 0.8502 0.0000  1 Tb 3.25, 4 Nd 3.42-3.51, 2 Pm 3.45, 2 Pr 3.58
5 Pm 0.7336 0.1498 0.0000  1 Tb 3.25, 4 Nd 3.42-3.51, 2 Pm 3.45, 2 Pr 3.58
6 Pm 0.7664 0.6498 0.5000  1 Tb 3.25, 4 Nd 3.42-3.51, 2 Pm 3.45, 2 Pr 3.58
7 Pr 0.0000 0.5000 0.0000  2 Pr 3.45, 4 Pm 3.58, 4 Tb 3.81
8 Pr 0.5000 0.0000 0.5000  2 Pr 3.45, 4 Pm 3.58, 4 Tb 3.81
9 Nd 0.2379 0.1805 0.0000  4 Pm 3.42-3.51, 2 Nd 3.45, 1 Tb 3.64
10 Nd 0.2621 0.6805 0.5000  4 Pm 3.42-3.51, 2 Nd 3.45, 1 Tb 3.64
11 Nd 0.7379 0.3195 0.5000  4 Pm 3.42-3.51, 2 Nd 3.45, 1 Tb 3.64
12 Nd 0.7621 0.8195 0.0000  4 Pm 3.42-3.51, 2 Nd 3.45, 1 Tb 3.64

Results
Magnetization (μB/f.u.): 0.000
D(E_F) (states/eV/f.u.): 10.58
Energy of formation from the pure elements (eV per atom): 0.24

***

Entry 9:
The following is a DFT calculation (PBE) of an optimized crystal structure of TbPm5Pr2Nd.

Cell: 10.1860 10.1860 10.1860 Å, 128.55 128.55 75.74°
Last column: nearest neighbours and their distance in Å.
Atoms (fractional coordinates):
1 Tb 0.2500 0.7500 0.5000  4 Pm 3.17
2 Tb 0.7500 0.2500 0.5000  4 Pm 3.17
3 Pm 0.0000 0.0000 0.0000  4 Pr 3.53, 8 Pm 3.88
4 Pm 0.0707 0.5707 0.9209  1 Pr 3.10, 1 Tb 3.17
5 Pm 0.1498 0.0707 0.5000  1 Pr 3.10, 1 Tb 3.17
6 Pm 0.3502 0.8502 0.9209  1 Pr 3.10, 1 Tb 3.17
7 Pm 0.4293 0.3502 0.5000  1 Pr 3.10, 1 Tb 3.17
8 Pm 0.5000 0.5000 0.0000  4 Pr 3.53, 8 Pm 3.88
9 Pm 0.5707 0.6498 0.5000  1 Pr 3.10, 1 Tb 3.17
10 Pm 0.6498 0.1498 0.0791  1 Pr 3.10, 1 Tb 3.17
11 Pm 0.8502 0.9293 0.5000  1 Pr 3.10, 1 Tb 3.17
12 Pm 0.9293 0.4293 0.0791  1 Pr 3.10, 1 Tb 3.17
13 Pr 0.1188 0.3812 0.5000  1 Pr 2.97, 2 Pm 3.10
14 Pr 0.3812 0.8812 0.2624  1 Pr 2.97, 2 Pm 3.10
15 Pr 0.6188 0.1188 0.7376  1 Pr 2.97, 2 Pm 3.10
16 Pr 0.8812 0.6188 0.5000  1 Pr 2.97, 2 Pm 3.10
17 Nd 0.2500 0.2500 0.0000  10 Pm 3.63-4.02
18 Nd 0.7500 0.7500 0.0000  10 Pm 3.63-4.02

Results
Magnetization (μB/f.u.): 0.000
D(E_F) (states/eV/f.u.): 13.13
Energy of formation from the pure elements (eV per atom): 0.26

***

Entry 10:
The following is a DFT calculation (PBE) of an optimized crystal structure of Tb3PmPrNd.

Cell: 10.5020 10.5020 7.0659 Å, 90.05 90.05 31.41°
Last column: nearest neighbours and their distance in Å.
Atoms (fractional coordinates):
1 Tb 0.0228 0.0228 0.2474  1 Pr 3.23, 1 Pm 3.23, 2 Nd 3.25
2 Tb 0.2791 0.2791 0.2508  3 Pr 3.34-3.55, 3 Pm 3.34-3.54, 1 Nd 3.35, 4 Tb 3.67-3.74
3 Tb 0.3354 0.3354 0.7544  2 Pm 3.49, 2 Pr 3.52, 4 Tb 3.67-3.74
4 Tb 0.6646 0.6646 0.2456  2 Pm 3.49, 2 Pr 3.52, 4 Tb 3.67-3.74
5 Tb 0.7209 0.7209 0.7492  3 Pr 3.34-3.55, 3 Pm 3.34-3.54, 1 Nd 3.35, 4 Tb 3.67-3.74
6 Tb 0.9772 0.9772 0.7526  1 Pr 3.23, 1 Pm 3.23, 2 Nd 3.25
7 Pm 0.1478 0.1478 0.9633  1 Pr 3.03, 2 Tb 3.23-3.34
8 Pm 0.8522 0.8522 0.0367  1 Pr 3.03, 2 Tb 3.23-3.34
9 Pr 0.1470 0.1470 0.5340  1 Pm 3.03, 2 Tb 3.23-3.34
10 Pr 0.8530 0.8530 0.4660  1 Pm 3.03, 2 Tb 3.23-3.34
11 Nd 0.4447 0.4447 0.2463  3 Tb 3.25-3.35
12 Nd 0.5553 0.5553 0.7537  3 Tb 3.25-3.35

Results
Magnetization (μB/f.u.): 0.000
D(E_F) (states/eV/f.u.): 8.28
Energy of formation from the pure elements (eV per atom): 0.17

***

Entry 11:
The following is a DFT calculation (PBE) of an optimized crystal structure of TbPm2Pr6Nd3.

Cell: 6.3898 6.3898 12.1900 Å, 95.04 95.04 120.01°
Last column: nearest neighbours and their distance in Å.
Atoms (fractional coordinates):
1 Tb 0.0000 0.0000 0.0000  6 Pr 3.66, 6 Pm 3.69
2 Pm 0.3333 0.6667 0.0000  6 Pr 3.66, 3 Pm 3.69, 3 Tb 3.69
3 Pm 0.6667 0.3333 0.0000  6 Pr 3.66, 3 Pm 3.69, 3 Tb 3.69
4 Pr 0.0830 0.4155 0.2482  1 Tb 3.66, 2 Pm 3.66, 6 Pr 3.68-3.69, 3 Nd 3.69-3.70
5 Pr 0.2499 0.2499 0.7516  1 Tb 3.66, 2 Pm 3.66, 6 Pr 3.68-3.69, 3 Nd 3.69-3.70
6 Pr 0.4155 0.0830 0.2482  1 Tb 3.66, 2 Pm 3.66, 6 Pr 3.68-3.69, 3 Nd 3.69-3.70
7 Pr 0.5845 0.9170 0.7518  1 Tb 3.66, 2 Pm 3.66, 6 Pr 3.68-3.69, 3 Nd 3.69-3.70
8 Pr 0.7501 0.7501 0.2484  1 Tb 3.66, 2 Pm 3.66, 6 Pr 3.68-3.69, 3 Nd 3.69-3.70
9 Pr 0.9170 0.5845 0.7518  1 Tb 3.66, 2 Pm 3.66, 6 Pr 3.68-3.69, 3 Nd 3.69-3.70
10 Nd 0.1665 0.8335 0.5000  6 Nd 3.69, 6 Pr 3.69-3.70
11 Nd 0.5000 0.5000 0.5000  6 Nd 3.69, 6 Pr 3.69-3.70
12 Nd 0.8335 0.1665 0.5000  6 Nd 3.69, 6 Pr 3.69-3.70

Results
Magnetization (μB/f.u.): 0.000
D(E_F) (states/eV/f.u.): 18.48
Energy of formation from the pure elements (eV per atom): 0.01

***

Entry 12:
The following is a DFT calculation (PBE) of an optimized crystal structure of Tb5PmPrNd2.

Cell: 10.0132 10.0132 10.0132 Å, 128.05 128.05 76.55°
Last column: nearest neighbours and their distance in Å.
Atoms (fractional coordinates):
1 Tb 0.0000 0.0000 0.0000  4 Nd 3.51, 8 Tb 3.81
2 Tb 0.0711 0.5711 0.9166  1 Nd 3.05, 1 Pm 3.13
3 Tb 0.1544 0.0711 0.5000  1 Nd 3.05, 1 Pm 3.13
4 Tb 0.3456 0.8456 0.9166  1 Nd 3.05, 1 Pm 3.13
5 Tb 0.4289 0.3456 0.5000  1 Nd 3.05, 1 Pm 3.13
6 Tb 0.5000 0.5000 0.0000  4 Nd 3.51, 8 Tb 3.81
7 Tb 0.5711 0.6544 0.5000  1 Nd 3.05, 1 Pm 3.13
8 Tb 0.6544 0.1544 0.0834  1 Nd 3.05, 1 Pm 3.13
9 Tb 0.8456 0.9289 0.5000  1 Nd 3.05, 1 Pm 3.13
10 Tb 0.9289 0.4289 0.0834  1 Nd 3.05, 1 Pm 3.13
11 Pm 0.2500 0.7500 0.5000  4 Tb 3.13
12 Pm 0.7500 0.2500 0.5000  4 Tb 3.13
13 Pr 0.2500 0.2500 0.0000  10 Tb 3.61-3.93
14 Pr 0.7500 0.7500 0.0000  10 Tb 3.61-3.93
15 Nd 0.1179 0.3821 0.5000  1 Nd 2.93, 2 Tb 3.05
16 Nd 0.3821 0.8821 0.2641  1 Nd 2.93, 2 Tb 3.05
17 Nd 0.6179 0.1179 0.7359  1 Nd 2.93, 2 Tb 3.05
18 Nd 0.8821 0.6179 0.5000  1 Nd 2.93, 2 Tb 3.05

Results
Magnetization (μB/f.u.): 0.000
D(E_F) (states/eV/f.u.): 10.11
Energy of formation from the pure elements (eV per atom): 0.25

***

Summary of energy in eV/atom
-4.6018, -4.7163, -4.4854, -4.7035, -4.4905, -4.7372, -4.4615, -4.4966, -4.4844, -4.5234, -4.7472, -4.4410
(order as listed above)